No. 1
Entry from Alexandria: a geometry-optimized K2InPb structure (PBE).

Results
Space-group type = R3m (160)
Total DFT energy (no corrections) = -2.144 eV per atom
D(E_F) = 0.739 states/eV/atom
Polymorph energy (0 for the lowest one) = 155 meV/atom
Total magnetic moment = 0.00 μB/f.u.
Energy relative to the elements = 0.065 eV/f.u.

Unit cell a=11.904 b=11.904 c=11.904 alpha=20.00 beta=20.00 gamma=20.00
Positions (direct):
1 K 0.233 0.233 0.233
2 K 0.018 0.018 0.018
3 In 0.762 0.762 0.762
4 Pb 0.487 0.487 0.487

---

No. 2
Entry from Alexandria: a geometry-optimized K2InPb structure (PBE).

Results
Space-group type = P2/m (10)
Total DFT energy (no corrections) = -2.149 eV per atom
D(E_F) = 0.573 states/eV/atom
Polymorph energy (0 for the lowest one) = 150 meV/atom
Total magnetic moment = 0.00 μB/f.u.
Energy relative to the elements = 0.045 eV/f.u.

Unit cell a=5.738 b=3.771 c=7.607 alpha=61.33 beta=90.00 gamma=90.00
Positions (direct):
1 Pb 0.500 0.250 0.250
2 K 0.000 0.508 0.496
3 K 0.000 0.992 0.004
4 In 0.500 0.750 0.750

---

No. 3
Entry from Alexandria: a geometry-optimized K2InPb structure (PBE).

Results
Space-group type = Fm-3m (225)
Total DFT energy (no corrections) = -2.118 eV per atom
D(E_F) = 1.077 states/eV/atom
Polymorph energy (0 for the lowest one) = 181 meV/atom
Total magnetic moment = 0.00 μB/f.u.
Energy relative to the elements = 0.172 eV/f.u.

Unit cell a=5.956 b=5.956 c=5.956 alpha=60.00 beta=60.00 gamma=60.00
Positions (direct):
1 Pb 0.500 0.500 0.500
2 In 0.000 0.000 0.000
3 K 0.250 0.250 0.250
4 K 0.750 0.750 0.750

---

No. 4
Entry from Alexandria: a geometry-optimized KIn3Pb structure (PBE).

Results
Space-group type = Pm-3m (221)
Total DFT energy (no corrections) = -2.354 eV per atom
D(E_F) = 0.757 states/eV/atom
Polymorph energy (0 for the lowest one) = 318 meV/atom
Total magnetic moment = 0.00 μB/f.u.
Energy relative to the elements = 1.253 eV/f.u.

Unit cell a=6.038 b=6.038 c=6.038 alpha=90.00 beta=90.00 gamma=90.00
Positions (direct):
1 In 0.000 0.000 0.500
2 In 0.000 0.500 0.000
3 In 0.500 0.000 0.000
4 K 0.500 0.500 0.500
5 Pb 0.000 0.000 0.000